[1]
A relaxed structure of PmHo2, computed with PBE.

Results
* E_form: -0.5 kJ per mole of atoms
* size of the total moment: 0.000 μB per atom
* electronic total energy: -4.64 eV/atom
* crystal system: monoclinic
* polymorph energy (0 for the lowest one): 0.00 kJ/mol of atoms

abc: 3.596 3.596 8.850
angles: 101.82 101.82 60.01
Positions (direct):
Pm: 0.000 0.000 0.000
Ho: 0.221 0.221 0.664
Ho: 0.779 0.779 0.336

***

[2]
A relaxed structure of LaVMo2, computed with PBE.

Results
* E_form: 34.7 kJ per mole of atoms
* size of the total moment: 0.000 μB per atom
* electronic total energy: -8.57 eV/atom
* crystal system: monoclinic
* polymorph energy (0 for the lowest one): 2.78 kJ/mol of atoms

abc: 5.929 5.929 8.055
angles: 119.39 119.39 41.21
Positions (direct):
La: 0.199 0.199 0.312
La: 0.801 0.801 0.688
V: 0.465 0.465 0.285
V: 0.535 0.535 0.715
Mo: 0.000 0.000 0.500
Mo: 0.176 0.176 0.907
Mo: 0.500 0.500 0.000
Mo: 0.824 0.824 0.093